[1]
Density functional theory data (PBE-GGA) for a geometry-optimized LiTmInGa structure.

Results
- Calculated volume: 21.37 A^3/atom
- E above lowest polymorph: 0.000 eV/atom
- Energy of formation from the pure elements: -0.384 eV/atom
- Fermi-level density of states: 1.21 states/eV/f.u.
- SG: F-43m (216)

Cell lengths 4.9449, 4.9449, 4.9449 Å; angles 60.00, 60.00, 60.00 degrees
Positions (direct):
1 Li 0.0000 0.0000 0.0000
2 Tm 0.5000 0.5000 0.5000
3 In 0.7500 0.7500 0.7500
4 Ga 0.2500 0.2500 0.2500

[2]
Density functional theory data (PBE-GGA) for a geometry-optimized LiYInGa structure.

Results
- Calculated volume: 22.00 A^3/atom
- Energy of formation from the pure elements: -0.402 eV/atom
- Fermi-level density of states: 1.10 states/eV/f.u.
- SG: F-43m (216)

Cell lengths 4.9924, 4.9924, 4.9924 Å; angles 60.00, 60.00, 60.00 degrees
Positions (direct):
1 Li 0.0000 0.0000 0.0000
2 Y 0.5000 0.5000 0.5000
3 In 0.2500 0.2500 0.2500
4 Ga 0.7500 0.7500 0.7500

[3]
Density functional theory data (PBE-GGA) for a geometry-optimized Li2ZnInGa structure.

Results
- Calculated volume: 18.01 A^3/atom
- Energy of formation from the pure elements: -0.198 eV/atom
- Fermi-level density of states: 2.05 states/eV/f.u.
- SG: P2_1/m (11)

Cell lengths 6.6211, 4.2727, 6.7011 Å; angles 90.00, 108.17, 90.00 degrees
Positions (direct):
1 Li 0.0184 0.2500 0.1584
2 Li 0.3277 0.7500 0.6847
3 Li 0.6723 0.2500 0.3153
4 Li 0.9816 0.7500 0.8416
5 Zn 0.0465 0.2500 0.6063
6 Zn 0.9535 0.7500 0.3937
7 In 0.3585 0.7500 0.2778
8 In 0.6415 0.2500 0.7222
9 Ga 0.3365 0.2500 0.9638
10 Ga 0.6635 0.7500 0.0362